{
  "formula": "CeHgPbI6",
  "functional": "GGA-PBE",
  "state": "optimized geometry",
  "e_tot_ev_per_cell": -53.7,
  "sg": "No. 163",
  "e_form_raw_kj_per_mol_fu": -732,
  "cell": [[-2.127, -3.084, -7.147], [0.646, -4.817, 6.441], [-16.955, 2.838, 3.822]],
  "species": ["I", "Pb", "I", "I", "Pb", "I", "Ce", "I", "Hg", "I", "I", "I", "Ce", "I", "I", "I", "I", "Hg"],
  "fractional_positions": [[0.630, 0.981, 0.851], [0.667, 0.333, 0.750], [0.981, 0.630, 0.351], [0.981, 0.351, 0.149], [0.333, 0.667, 0.250], [0.019, 0.649, 0.851], [0.667, 0.333, 0.250], [0.019, 0.370, 0.649], [0.000, 0.000, 0.500], [0.351, 0.370, 0.851], [0.370, 0.019, 0.149], [0.649, 0.019, 0.351], [0.333, 0.667, 0.750], [0.630, 0.649, 0.649], [0.351, 0.981, 0.649], [0.649, 0.630, 0.149], [0.370, 0.351, 0.351], [0.000, 0.000, 0.000]]
}

=====

{
  "formula": "CePrHgI",
  "functional": "GGA-PBE",
  "state": "optimized geometry",
  "e_tot_ev_per_cell": -14.4,
  "sg": "No. 216",
  "e_form_raw_kj_per_mol_fu": -178,
  "cell": [[5.493, 0.000, 0.000], [2.747, 4.757, 0.000], [2.747, 1.586, 4.485]],
  "species": ["Pr", "Ce", "I", "Hg"],
  "fractional_positions": [[0.750, 0.750, 0.750], [0.250, 0.250, 0.250], [0.000, 0.000, 0.000], [0.500, 0.500, 0.500]]
}

=====

- Which formula does entry 2 have?
  CePrHgI

=====

- What is the formula in the second record?
  CePrHgI